Below is a relaxed Pm5Cd4Pd crystal, with properties calculated at the PBE level.

It has space group P4/mmm (No. 123), with a = 3.774 Å, b = 3.774 Å, c = 19.002 Å, α = 90.00°, β = 90.00° and γ = 90.00°. The inequivalent atoms are Pm at (0.000, 0.000, 0.000), Pm at (0.000, 0.000, 0.206), Pm at (0.000, 0.000, 0.412), Cd at (0.500, 0.500, 0.103), Cd at (0.500, 0.500, 0.306) and Pd at (0.500, 0.500, 0.500).

The calculation puts the volume at 270.6 Å³ per cell. As for the formation energy: -0.409 eV/atom. Its raw total energy is -36.70 eV/cell.